{"formula": "BaNpSe3", "functional": "GGA-PBEsol", "state": "optimized geometry", "lattice": [[5.390, 0.000, 0.000], [0.000, 5.399, 0.017], [0.000, -0.164, 5.396]], "species": ["Ba", "Se", "Np", "Se", "Se"], "frac_coords": [[0.500, 0.037, 0.937], [0.500, 0.503, 0.524], [0.000, 0.496, 0.503], [0.000, 0.995, 0.520], [0.000, 0.469, 0.005]], "dft_energy_ev_per_atom": -6.807, "space_group": "Pm", "e_form_raw_mev_per_atom": -1297, "m_tot_mub_per_cell": 3.0}